# 1
Compound: MgBi3Pd7
Source: Alexandria
Functional: PBE
Structure: relaxed

Cell and atoms, written as POSCAR:
```
MgBi3Pd7
1.0
-1.132 -3.318 -0.834
10.687 -1.493 -0.778
0.376 -2.757 10.463
Mg Bi Pd
2 6 14
Direct
0.914 0.828 0.250
0.086 0.172 0.750
0.917 0.834 0.563
0.083 0.166 0.063
0.917 0.834 0.937
0.236 0.472 0.750
0.764 0.528 0.250
0.083 0.166 0.437
0.633 0.265 0.250
0.367 0.735 0.750
0.516 0.032 0.875
0.788 0.575 0.928
0.653 0.306 0.891
0.653 0.306 0.609
0.212 0.425 0.072
0.484 0.968 0.125
0.484 0.968 0.375
0.516 0.032 0.625
0.347 0.694 0.109
0.212 0.425 0.428
0.347 0.694 0.391
0.788 0.575 0.572
```

Values from the calculation:
energy of formation from the pure elements: -302 meV per atom
energy: -105.8 eV per cell
spin magnetization: 0.0 μB per cell
Fermi-level density of states: 0.420 states/eV per atom
mass density: 11.14 Mg/m³
space-group type: Cmcm


# 2
Compound: Ac2Th3Se8
Source: Alexandria
Functional: PBE
Structure: relaxed

Cell and atoms, written as POSCAR:
```
Ac2Th3Se8
1.0
-1.253 3.223 -3.771
9.060 -1.748 -4.504
-7.499 -4.730 -1.552
Se Ac Th
8 2 3
Direct
0.500 0.358 0.236
0.500 0.122 0.764
0.000 0.114 0.227
0.000 0.381 0.762
0.500 0.878 0.236
0.000 0.619 0.238
0.500 0.642 0.764
0.000 0.886 0.773
0.500 0.735 0.469
0.500 0.265 0.531
0.000 0.267 0.000
0.000 0.733 0.000
0.500 0.000 0.000
```

Values from the calculation:
formation energy without anion corrections: -1.790 eV per atom
energy: -81.6 eV per cell
spin magnetization: 1.6 μB per cell
Fermi-level density of states: 0.268 states/eV per atom
mass density: 7.62 Mg/m³
space-group type: Cmmm


# 3
Compound: Mg2ZnNiPt
Source: Alexandria
Functional: PBE
Structure: relaxed

Cell and atoms, written as POSCAR:
```
Mg2ZnNiPt
1.0
4.957 0.000 0.000
0.000 4.679 0.000
0.000 0.000 4.957
Mg Pt Zn Ni
2 1 1 1
Direct
0.500 0.000 0.000
0.000 0.000 0.500
0.000 0.000 0.000
0.500 0.500 0.500
0.000 0.500 0.000
```

Values from the calculation:
energy of formation from the pure elements: 250 meV per atom
energy: -15.0 eV per cell
spin magnetization: 0.9 μB per cell
Fermi-level density of states: 0.676 states/eV per atom
mass density: 5.31 Mg/m³
space-group type: P4/mmm


# 4
Compound: MgSbPt2
Source: Alexandria
Functional: PBE
Structure: relaxed

Cell and atoms, written as POSCAR:
```
MgSbPt2
1.0
4.180 0.000 0.000
0.000 4.180 0.000
2.090 2.090 8.912
Pt Mg Sb
4 2 2
Direct
0.375 0.373 0.750
0.123 0.625 0.250
0.627 0.125 0.250
0.875 0.877 0.750
0.250 0.750 0.500
0.500 0.500 0.000
0.750 0.250 0.500
0.000 0.000 0.000
```

Values from the calculation:
formation energy without anion corrections: -0.295 eV per atom
energy: -38.0 eV per cell
spin magnetization: 0.0 μB per cell
Fermi-level density of states: 0.738 states/eV per atom
mass density: 11.44 Mg/m³
space-group type: I-42d


# 5
Compound: LaSbMo3
Source: Alexandria
Functional: PBE
Structure: relaxed

Cell and atoms, written as POSCAR:
```
LaSbMo3
1.0
4.872 0.000 0.000
0.000 4.872 0.000
0.000 0.000 4.872
Mo Sb La
3 1 1
Direct
0.000 0.000 0.500
0.500 0.000 0.000
0.000 0.500 0.000
0.500 0.500 0.500
0.000 0.000 0.000
```

Values from the calculation:
formation energy without anion corrections: 2.167 eV per atom
energy: -30.7 eV per cell
spin magnetization: 0.0 μB per cell
Fermi-level density of states: 2.562 states/eV per atom
mass density: 7.87 Mg/m³
space-group type: Pm-3m


# 6
Compound: K2Mg
Source: Alexandria
Functional: PBE
Structure: relaxed

Cell and atoms, written as POSCAR:
```
K2Mg
1.0
-6.412 -2.131 2.869
-4.006 -5.562 2.627
2.198 0.782 10.761
K Mg
4 2
Direct
0.978 0.978 0.997
0.691 0.691 0.189
0.622 0.622 0.650
0.397 0.397 0.412
0.880 0.880 0.704
0.265 0.265 0.881
```

Values from the calculation:
energy of formation from the pure elements: 151 meV per atom
energy: -6.7 eV per cell
spin magnetization: 0.0 μB per cell
Fermi-level density of states: 0.765 states/eV per atom
mass density: 1.07 Mg/m³
space-group type: Cm


# 7
Compound: LiTm2AgS4
Source: Alexandria
Functional: PBE
Structure: relaxed

Cell and atoms, written as POSCAR:
```
LiTm2AgS4
1.0
3.918 0.000 0.000
0.000 6.767 0.132
0.000 -2.361 6.177
S Tm Li Ag
4 2 1 1
Direct
0.500 0.258 0.260
0.000 0.250 0.741
0.000 0.750 0.259
0.500 0.742 0.740
0.500 0.000 0.500
0.000 0.500 0.500
0.500 0.500 0.000
0.000 0.000 0.000
```

Values from the calculation:
formation energy without anion corrections: -1.569 eV per atom
energy: -42.8 eV per cell
spin magnetization: 0.0 μB per cell
Fermi-level density of states: 0.000 states/eV per atom
mass density: 5.85 Mg/m³
space-group type: P2/m


# 8
Compound: Ho2PuPbC
Source: Alexandria
Functional: PBE
Structure: relaxed

Cell and atoms, written as POSCAR:
```
Ho2PuPbC
1.0
-4.233 0.079 2.297
1.418 -3.850 2.746
1.881 3.089 3.360
C Ho Pb Pu
1 2 1 1
Direct
0.000 0.000 0.000
0.000 0.000 0.500
0.000 0.500 0.000
0.500 0.500 0.500
0.500 0.000 0.000
```

Values from the calculation:
energy of formation from the pure elements: -396 meV per atom
energy: -38.4 eV per cell
spin magnetization: 5.8 μB per cell
Fermi-level density of states: 1.629 states/eV per atom
mass density: 11.22 Mg/m³
space-group type: P4/mmm


# 9
Compound: UPaTcC3
Source: Alexandria
Functional: PBE
Structure: relaxed

Cell and atoms, written as POSCAR:
```
UPaTcC3
1.0
3.315 0.000 0.000
0.000 7.293 0.884
0.000 -1.892 7.420
C Tc Pa U
6 2 2 2
Direct
0.250 0.823 0.567
0.750 0.411 0.119
0.250 0.123 0.865
0.750 0.177 0.433
0.250 0.589 0.881
0.750 0.877 0.135
0.250 0.115 0.589
0.750 0.885 0.411
0.750 0.841 0.819
0.250 0.159 0.181
0.250 0.641 0.176
0.750 0.359 0.824
```

Values from the calculation:
energy of formation from the pure elements: 5 meV per atom
energy: -117.6 eV per cell
spin magnetization: 0.0 μB per cell
Fermi-level density of states: 0.965 states/eV per atom
mass density: 10.83 Mg/m³
space-group type: P2_1/m


# 10
Compound: AcGePb
Source: Alexandria
Functional: PBE
Structure: relaxed

Cell and atoms, written as POSCAR:
```
AcGePb
1.0
4.124 0.000 0.000
0.000 4.439 -1.030
0.000 -0.002 10.074
Pb Ge Ac
2 2 2
Direct
0.750 0.284 0.569
0.250 0.716 0.431
0.750 0.459 0.917
0.250 0.541 0.083
0.250 0.906 0.811
0.750 0.094 0.189
```

Values from the calculation:
energy of formation from the pure elements: -511 meV per atom
energy: -27.9 eV per cell
spin magnetization: 0.0 μB per cell
Fermi-level density of states: 0.791 states/eV per atom
mass density: 9.13 Mg/m³
space-group type: Cmcm


# 11
Compound: YCdCl2
Source: Alexandria
Functional: PBE
Structure: relaxed

Cell and atoms, written as POSCAR:
```
YCdCl2
1.0
5.168 0.000 0.000
2.584 4.476 0.000
2.584 1.492 4.220
Cl Cd Y
2 1 1
Direct
0.250 0.250 0.250
0.000 0.000 0.000
0.500 0.500 0.500
0.750 0.750 0.750
```

Values from the calculation:
formation energy without anion corrections: -0.649 eV per atom
energy: -13.7 eV per cell
spin magnetization: 0.4 μB per cell
Fermi-level density of states: 0.885 states/eV per atom
mass density: 4.63 Mg/m³
space-group type: F-43m


# 12
Compound: Rb2TlHg6Bi
Source: Alexandria
Functional: PBE
Structure: relaxed

Cell and atoms, written as POSCAR:
```
Rb2TlHg6Bi
1.0
-6.998 -1.333 2.944
-4.822 -4.845 -3.564
1.742 -13.756 8.006
Hg Rb Bi Tl
12 4 2 2
Direct
0.194 0.194 0.839
0.664 0.664 0.608
0.806 0.806 0.161
0.336 0.936 0.392
0.336 0.336 0.392
0.064 0.664 0.608
0.194 0.772 0.839
0.936 0.336 0.392
0.806 0.228 0.161
0.664 0.064 0.608
0.228 0.806 0.161
0.772 0.194 0.839
0.871 0.871 0.387
0.129 0.129 0.613
0.721 0.721 0.838
0.279 0.279 0.162
0.423 0.423 0.732
0.577 0.577 0.268
0.000 0.000 0.000
0.500 0.500 0.500
```

Values from the calculation:
energy of formation from the pure elements: -122 meV per atom
energy: -22.4 eV per cell
spin magnetization: 0.0 μB per cell
Fermi-level density of states: 0.329 states/eV per atom
mass density: 7.50 Mg/m³
space-group type: R-3m